# 1
Density functional theory data (SCAN) for a PBEsol-optimized structure of Cs2CdAgO.

a = 5.1935 Å, b = 6.4368 Å, c = 6.4368 Å
α = 90.00°, β = 90.00°, γ = 90.00°
Site moments in Bohr magnetons follow the coordinates.
Fractional coordinates of all 5 atoms:
Cs: 0.0000 0.0000 0.5000  0.00
Cs: 0.0000 0.5000 0.0000  0.00
O: 0.5000 0.5000 0.5000  0.72
Ag: 0.0000 0.0000 0.0000  0.00
Cd: 0.5000 0.0000 0.0000  0.00

E_form (uncorrected): 0.0826 eV per atom
Size of the total moment: 0.85 Bohr magnetons per cell
D(E_F): 2.82 states/eV/cell

# 2
Density functional theory data (SCAN) for a PBEsol-optimized structure of CsZr2CdAg.

a = 5.1732 Å, b = 5.1732 Å, c = 5.5986 Å
α = 90.00°, β = 90.00°, γ = 90.00°
Fractional coordinates of all 5 atoms:
Cs: 0.0000 0.0000 0.0000
Zr: 0.0000 0.5000 0.0000
Zr: 0.5000 0.0000 0.0000
Ag: 0.5000 0.5000 0.5000
Cd: 0.0000 0.0000 0.5000

Formation enthalpy at 0 K: 2.1191 eV/atom
Size of the total moment: 0.00 Bohr magnetons per cell
D(E_F): 5.43 states/eV/cell

# 3
Density functional theory data (SCAN) for a PBEsol-optimized structure of CdCuAg2.

a = 4.0292 Å, b = 4.0292 Å, c = 4.8759 Å
α = 114.40°, β = 114.40°, γ = 90.00°
Fractional coordinates of all 4 atoms:
Cu: 0.2500 0.7500 0.5000
Ag: 0.0000 0.0000 0.0000
Ag: 0.7500 0.2500 0.5000
Cd: 0.5000 0.5000 0.0000

Formation enthalpy at 0 K: 0.0448 eV/atom
Size of the total moment: 0.00 Bohr magnetons per cell
D(E_F): 1.16 states/eV/cell

# 4
Density functional theory data (SCAN) for a PBEsol-optimized structure of CdCu4Ag.

a = 4.8693 Å, b = 4.8693 Å, c = 4.8693 Å
α = 60.00°, β = 60.00°, γ = 60.00°
Fractional coordinates of all 6 atoms:
Ag: 0.7500 0.7500 0.7500
Cd: 0.0000 0.0000 0.0000
Cu: 0.3751 0.3751 0.3751
Cu: 0.3751 0.3751 0.8747
Cu: 0.8747 0.3751 0.3751
Cu: 0.3751 0.8747 0.3751

Formation enthalpy at 0 K: 0.0314 eV/atom
Size of the total moment: 0.00 Bohr magnetons per cell
D(E_F): 1.90 states/eV/cell

# 5
Density functional theory data (SCAN) for a PBEsol-optimized structure of CdCu2Ag.

a = 2.9673 Å, b = 2.9673 Å, c = 6.6659 Å
α = 90.00°, β = 90.00°, γ = 90.00°
Fractional coordinates of all 4 atoms:
Cu: 0.0000 0.0000 0.0344
Cu: 0.5000 0.5000 0.2237
Ag: 0.0000 0.0000 0.4686
Cd: 0.5000 0.5000 0.7733

Formation enthalpy at 0 K: 0.0513 eV/atom
Size of the total moment: 0.00 Bohr magnetons per cell
D(E_F): 1.04 states/eV/cell

# 6
Density functional theory data (SCAN) for a PBEsol-optimized structure of CdCu2Ag.

a = 2.8145 Å, b = 2.8145 Å, c = 8.8297 Å
α = 80.83°, β = 80.83°, γ = 60.00°
Fractional coordinates of all 4 atoms:
Ag: 0.5000 0.5000 0.5000
Cd: 0.0000 0.0000 0.0000
Cu: 0.2480 0.2480 0.2559
Cu: 0.7520 0.7520 0.7441

Formation enthalpy at 0 K: 0.1656 eV/atom
Size of the total moment: 0.00 Bohr magnetons per cell
D(E_F): 1.11 states/eV/cell

# 7
Density functional theory data (SCAN) for a PBEsol-optimized structure of CdCuAg2.

a = 2.9417 Å, b = 4.7723 Å, c = 4.9578 Å
α = 103.76°, β = 107.26°, γ = 90.00°
Fractional coordinates of all 4 atoms:
Cu: 0.0000 0.5000 0.0000
Ag: 0.2617 0.2615 0.5233
Ag: 0.7383 0.7385 0.4767
Cd: 0.5000 0.0000 0.0000

Formation enthalpy at 0 K: 0.0463 eV/atom
Size of the total moment: 0.00 Bohr magnetons per cell
D(E_F): 1.00 states/eV/cell

# 8
Density functional theory data (SCAN) for a PBEsol-optimized structure of CdCuAg2.

a = 3.9639 Å, b = 3.9639 Å, c = 4.0866 Å
α = 90.00°, β = 90.00°, γ = 90.00°
Fractional coordinates of all 4 atoms:
Cu: 0.0000 0.0000 0.5000
Ag: 0.0000 0.5000 0.0000
Ag: 0.5000 0.0000 0.0000
Cd: 0.5000 0.5000 0.5000

Formation enthalpy at 0 K: 0.0445 eV/atom
Size of the total moment: 0.00 Bohr magnetons per cell
D(E_F): 1.02 states/eV/cell

# 9
Density functional theory data (SCAN) for a PBEsol-optimized structure of CdCuAg2.

a = 3.0294 Å, b = 3.0294 Å, c = 6.9887 Å
α = 90.00°, β = 90.00°, γ = 90.00°
Fractional coordinates of all 4 atoms:
Cu: 0.5000 0.5000 0.7583
Ag: 0.0000 0.0000 0.9776
Ag: 0.5000 0.5000 0.2427
Cd: 0.0000 0.0000 0.5215

Formation enthalpy at 0 K: 0.0396 eV/atom
Size of the total moment: 0.00 Bohr magnetons per cell
D(E_F): 1.02 states/eV/cell

# 10
Density functional theory data (SCAN) for a PBEsol-optimized structure of CdCuAg2.

a = 3.2807 Å, b = 4.4446 Å, c = 5.2037 Å
α = 115.28°, β = 108.37°, γ = 90.00°
Fractional coordinates of all 4 atoms:
Cu: 0.0000 0.5000 0.0000
Ag: 0.7331 0.7331 0.4662
Ag: 0.2669 0.2669 0.5338
Cd: 0.5000 0.0000 0.0000

Formation enthalpy at 0 K: 0.0474 eV/atom
Size of the total moment: 0.00 Bohr magnetons per cell
D(E_F): 1.05 states/eV/cell

# 11
Density functional theory data (SCAN) for a PBEsol-optimized structure of CdCuAg2.

a = 2.8787 Å, b = 2.8787 Å, c = 9.1877 Å
α = 80.99°, β = 80.99°, γ = 60.00°
Fractional coordinates of all 4 atoms:
Ag: 0.2569 0.2569 0.2293
Ag: 0.7431 0.7431 0.7707
Cd: 0.5000 0.5000 0.5000
Cu: 0.0000 0.0000 0.0000

Formation enthalpy at 0 K: 0.0814 eV/atom
Size of the total moment: 0.00 Bohr magnetons per cell
D(E_F): 1.10 states/eV/cell

# 12
Density functional theory data (SCAN) for a PBEsol-optimized structure of CdCuAg2.

a = 2.9322 Å, b = 4.7989 Å, c = 4.9361 Å
α = 103.11°, β = 107.28°, γ = 90.00°
Fractional coordinates of all 4 atoms:
Cu: 0.7476 0.2462 0.4951
Ag: 0.0098 0.0081 0.0195
Ag: 0.2516 0.7549 0.5031
Cd: 0.4911 0.4908 0.9822

Formation enthalpy at 0 K: 0.0580 eV/atom
Size of the total moment: 0.00 Bohr magnetons per cell
D(E_F): 1.06 states/eV/cell